# 1
First-principles (PBE-GGA) data for CrInS2 after structural relaxation, as listed in Alexandria via LeMat-Bulk.

## Properties
Total moment, μB/f.u.: 0.02
Calculated total energy, eV per atom: -4.840
Raw formation energy, kcal/mol of atoms: 7.2

Cell lengths 7.7693, 7.7693, 7.7693 Å; angles 27.86, 27.86, 27.86 degrees
Fractional coordinates of all 4 atoms:
Cr  0.0000  0.0000  0.0000
In  0.5000  0.5000  0.5000
S  0.0989  0.0989  0.0989
S  0.9011  0.9011  0.9011

# 2
First-principles (PBE-GGA) data for CrInS2 after structural relaxation, as listed in Alexandria via LeMat-Bulk.

## Properties
Total moment, μB/f.u.: 0.00
Calculated total energy, eV per atom: -5.543
Raw formation energy, kcal/mol of atoms: -9.0

Cell lengths 8.8253, 8.8253, 8.8253 Å; angles 20.85, 20.85, 20.85 degrees
Fractional coordinates of all 4 atoms:
Cr  0.0000  0.0000  0.0000
In  0.5000  0.5000  0.5000
S  0.3876  0.3876  0.3876
S  0.6124  0.6124  0.6124